(1)
DFT (PBE with a Hubbard U) results for a relaxed Li2TaVO6 crystal.

Cell lengths 5.3781, 5.3781, 4.2199 Å; angles 90.00, 90.00, 90.00 degrees
With the nearest neighbours (Å) after each atom.
Element x y z (fractional)
Li (0.0000, 0.5000, 0.0000)  4 O 2.07
Li (0.5000, 0.0000, 0.0000)  4 O 2.07
Ta (0.0000, 0.0000, 0.7127)  5 O 1.82-1.99
V (0.5000, 0.5000, 0.7038)  1 O 1.64
O (0.0000, 0.0000, 0.2808)  1 Ta 1.82
O (0.2568, 0.2568, 0.8042)  1 V 1.90, 1 Ta 1.99, 2 Li 2.07
O (0.2568, 0.7432, 0.8042)  1 V 1.90, 1 Ta 1.99, 2 Li 2.07
O (0.5000, 0.5000, 0.3157)  1 V 1.64
O (0.7432, 0.2568, 0.8042)  1 V 1.90, 1 Ta 1.99, 2 Li 2.07
O (0.7432, 0.7432, 0.8042)  1 V 1.90, 1 Ta 1.99, 2 Li 2.07

Computed properties:
The calculation puts the total energy at -75.58 eV per cell. The symmetry is P4mm (99). The value obtained for the calculated volume is 122 Å³/cell.

---

(2)
DFT (PBE with a Hubbard U) results for a relaxed LiTaV2O8 crystal.

Cell lengths 5.6850, 5.6850, 5.6850 Å; angles 106.38, 106.38, 115.86 degrees
With the nearest neighbours (Å) after each atom.
Element x y z (fractional)
Li (0.0000, 0.0000, 0.0000)  4 O 2.16
Ta (0.7500, 0.2500, 0.5000)  8 O 2.05-2.21
V (0.2500, 0.7500, 0.5000)  4 O 1.74
V (0.5000, 0.5000, 0.0000)  4 O 1.73
O (0.0512, 0.3656, 0.3145)  1 V 1.74
O (0.0512, 0.7367, 0.6855)  1 V 1.74
O (0.1271, 0.3359, 0.7912)  1 V 1.73
O (0.2633, 0.9488, 0.3145)  1 V 1.74
O (0.5447, 0.3359, 0.2088)  1 V 1.73
O (0.6344, 0.9488, 0.6855)  1 V 1.74
O (0.6641, 0.4553, 0.7912)  1 V 1.73
O (0.6641, 0.8729, 0.2088)  1 V 1.73

Computed properties:
The calculation puts the density of states at the Fermi level at 0.0 states/eV/f.u. The calculation puts the total energy at -93.55 eV per cell. The symmetry is I-4m2 (119). The value obtained for the calculated volume is 140 Å³/cell.

---

(3)
DFT (PBE with a Hubbard U) results for a relaxed LiTaW2O8 crystal.

Cell lengths 4.9025, 4.9025, 5.9307 Å; angles 90.00, 90.00, 93.66 degrees
With the nearest neighbours (Å) after each atom.
Element x y z (fractional)
Li (0.0000, 0.0000, 0.0000)  6 O 2.12-2.32
Ta (0.0000, 0.0000, 0.5000)  6 O 1.97-2.04
W (0.5000, 0.5000, 0.2608)  6 O 1.95-2.09
W (0.5000, 0.5000, 0.7392)  6 O 1.95-2.09
O (0.2089, 0.2089, 0.2677)  1 W 1.95, 1 Ta 1.97, 1 Li 2.12
O (0.2089, 0.2089, 0.7323)  1 W 1.95, 1 Ta 1.97, 1 Li 2.12
O (0.2846, 0.7154, 0.5000)  1 Ta 2.04, 2 W 2.09
O (0.3238, 0.6762, 0.0000)  2 W 2.00
O (0.6762, 0.3238, 0.0000)  2 W 2.00
O (0.7154, 0.2846, 0.5000)  1 Ta 2.04, 2 W 2.09
O (0.7911, 0.7911, 0.2677)  1 W 1.95, 1 Ta 1.97, 1 Li 2.12
O (0.7911, 0.7911, 0.7323)  1 W 1.95, 1 Ta 1.97, 1 Li 2.12

Computed properties:
The calculation puts the total energy at -94.13 eV per cell. The symmetry is Cmmm (65). The value obtained for the calculated volume is 142 Å³/cell.

---

(4)
DFT (PBE with a Hubbard U) results for a relaxed LiTaWO7 crystal.

Cell lengths 7.4213, 7.4213, 7.4213 Å; angles 119.78, 119.19, 90.90 degrees
With the nearest neighbours (Å) after each atom.
Element x y z (fractional)
Li (0.5000, 0.0000, 0.0000)  2 O 1.89
Li (0.5000, 0.5000, 0.5000)  2 O 1.89
Ta (0.0000, 0.0000, 0.0000)  6 O 1.98-2.01
Ta (0.5000, 0.0000, 0.5000)  6 O 1.98-2.01
W (0.0000, 0.0000, 0.5000)  6 O 1.94-1.95
W (0.0000, 0.5000, 0.0000)  6 O 1.94-1.95
O (0.0569, 0.3069, 0.7500)  2 W 1.95
O (0.0601, 0.3127, 0.1185)  1 W 1.94, 1 Ta 1.98
O (0.0601, 0.9417, 0.7474)  1 W 1.94, 1 Ta 1.98
O (0.3057, 0.0583, 0.6185)  1 W 1.94, 1 Ta 1.98
O (0.3057, 0.6873, 0.2474)  1 W 1.94, 1 Ta 1.98
O (0.3190, 0.0690, 0.2500)  2 Ta 2.01, 1 O 2.21
O (0.4687, 0.7187, 0.7500)  2 Li 1.89
O (0.5313, 0.2813, 0.2500)  2 Li 1.89
O (0.6810, 0.9310, 0.7500)  2 Ta 2.01, 1 O 2.21
O (0.6943, 0.3127, 0.7526)  1 W 1.94, 1 Ta 1.98
O (0.6943, 0.9417, 0.3815)  1 W 1.94, 1 Ta 1.98
O (0.9399, 0.0583, 0.2526)  1 W 1.94, 1 Ta 1.98
O (0.9399, 0.6873, 0.8815)  1 W 1.94, 1 Ta 1.98
O (0.9431, 0.6931, 0.2500)  2 W 1.95

Computed properties:
The calculation puts the density of states at the Fermi level at 2.8 states/eV/f.u. The calculation puts the total energy at -148.89 eV per cell. The symmetry is Imma (74). The value obtained for the calculated volume is 291 Å³/cell.